1.
This record from Alexandria via LeMat-Bulk describes a relaxed Re3HgGe crystal. The functional is PBE.

Results
Magnetic moment   0.0 μB per formula unit
DFT formation energy   1.83 eV per atom

abc: 4.5772 4.5772 4.5772
angles: 90.00 90.00 90.00
Closest atoms and distances in Å follow each position.
Positions (direct):
Re 0.0000 0.0000 0.5000  2 Ge 2.29
Re 0.5000 0.0000 0.0000  2 Ge 2.29
Re 0.0000 0.5000 0.0000  2 Ge 2.29
Ge 0.0000 0.0000 0.0000  6 Re 2.29
Hg 0.5000 0.5000 0.5000  12 Re 3.24

***

2.
This record from Alexandria via LeMat-Bulk describes a relaxed Na3Sn8Pb2 crystal. The functional is PBE.

Results
Magnetic moment   0.0 μB per formula unit
DFT formation energy   0.01 eV per atom

abc: 4.5889 7.6694 11.7108
angles: 109.11 90.00 90.00
Closest atoms and distances in Å follow each position.
Positions (direct):
Sn 0.0000 0.6735 0.3469  4 Sn 3.14, 2 Pb 3.30
Sn 0.0000 0.3265 0.6531  4 Sn 3.14, 2 Pb 3.30
Sn 0.0000 0.1148 0.2295  4 Sn 3.20, 2 Pb 3.26, 4 Na 3.42
Sn 0.5000 0.8187 0.2192  5 Sn 3.14-3.21, 3 Na 3.30-3.34, 1 Pb 3.30
Sn 0.5000 0.1813 0.7808  5 Sn 3.14-3.21, 3 Na 3.30-3.34, 1 Pb 3.30
Sn 0.0000 0.8852 0.7705  4 Sn 3.20, 2 Pb 3.26, 4 Na 3.42
Sn 0.5000 0.4005 0.2192  5 Sn 3.14-3.21, 3 Na 3.30-3.34, 1 Pb 3.30
Sn 0.5000 0.5995 0.7808  5 Sn 3.14-3.21, 3 Na 3.30-3.34, 1 Pb 3.30
Pb 0.5000 0.2192 0.4385  6 Sn 3.26-3.30
Pb 0.5000 0.7808 0.5615  6 Sn 3.26-3.30
Na 0.0000 0.2983 0.0000  3 Na 3.09-3.24, 6 Sn 3.34-3.42
Na 0.0000 0.7017 0.0000  3 Na 3.09-3.24, 6 Sn 3.34-3.42
Na 0.5000 0.0000 0.0000  4 Na 3.24, 8 Sn 3.30-3.42

***

3.
This record from Alexandria via LeMat-Bulk describes a relaxed Sm2Al3CdAg4 crystal. The functional is PBE.

Results
Magnetic moment   0.0 μB per formula unit
DFT formation energy   -0.28 eV per atom

abc: 4.3171 4.3171 11.4704
angles: 90.00 90.00 90.00
Closest atoms and distances in Å follow each position.
Positions (direct):
Al 0.0000 0.0000 0.5000  4 Ag 2.76, 4 Cd 3.05
Al 0.5000 0.0000 0.8709  5 Ag 2.53-2.62
Al 0.0000 0.5000 0.1291  5 Ag 2.53-2.62
Ag 0.5000 0.0000 0.6506  3 Al 2.53-2.76, 2 Cd 2.76
Ag 0.0000 0.5000 0.3494  3 Al 2.53-2.76, 2 Cd 2.76
Ag 0.0000 0.0000 0.0000  4 Al 2.62
Ag 0.5000 0.5000 0.0000  4 Al 2.62
Sm 0.0000 0.5000 0.7594  8 Ag 3.30-3.50, 6 Al 3.31-3.68, 2 Cd 3.68
Sm 0.5000 0.0000 0.2406  8 Ag 3.30-3.50, 6 Al 3.31-3.68, 2 Cd 3.68
Cd 0.5000 0.5000 0.5000  4 Ag 2.76, 4 Al 3.05

***

Please write out number 2 again, unchanged.
This record from Alexandria via LeMat-Bulk describes a relaxed Na3Sn8Pb2 crystal. The functional is PBE.

Results
Magnetic moment   0.0 μB per formula unit
DFT formation energy   0.01 eV per atom

abc: 4.5889 7.6694 11.7108
angles: 109.11 90.00 90.00
Closest atoms and distances in Å follow each position.
Positions (direct):
Sn 0.0000 0.6735 0.3469  4 Sn 3.14, 2 Pb 3.30
Sn 0.0000 0.3265 0.6531  4 Sn 3.14, 2 Pb 3.30
Sn 0.0000 0.1148 0.2295  4 Sn 3.20, 2 Pb 3.26, 4 Na 3.42
Sn 0.5000 0.8187 0.2192  5 Sn 3.14-3.21, 3 Na 3.30-3.34, 1 Pb 3.30
Sn 0.5000 0.1813 0.7808  5 Sn 3.14-3.21, 3 Na 3.30-3.34, 1 Pb 3.30
Sn 0.0000 0.8852 0.7705  4 Sn 3.20, 2 Pb 3.26, 4 Na 3.42
Sn 0.5000 0.4005 0.2192  5 Sn 3.14-3.21, 3 Na 3.30-3.34, 1 Pb 3.30
Sn 0.5000 0.5995 0.7808  5 Sn 3.14-3.21, 3 Na 3.30-3.34, 1 Pb 3.30
Pb 0.5000 0.2192 0.4385  6 Sn 3.26-3.30
Pb 0.5000 0.7808 0.5615  6 Sn 3.26-3.30
Na 0.0000 0.2983 0.0000  3 Na 3.09-3.24, 6 Sn 3.34-3.42
Na 0.0000 0.7017 0.0000  3 Na 3.09-3.24, 6 Sn 3.34-3.42
Na 0.5000 0.0000 0.0000  4 Na 3.24, 8 Sn 3.30-3.42

***

> Number 2 is which compound?

Na3Sn8Pb2

***

> Number 2 is which compound?

Na3Sn8Pb2